Tl4FeCl6 | PBE | optimized geometry

The total energy comes out at -3.554 eV/atom. As for the uncorrected formation energy: -10.1 eV/f.u. Its symmetry is Cc, No. 9.

abc: 8.3898 9.0220 13.1467
angles: 76.41 71.39 62.29
Closest atoms and distances in Å follow each position.
Sites, in units of the cell vectors:
1 Cl 0.3455 0.2750 0.7144  1 Fe 2.31
2 Cl 0.9451 0.6158 0.4186  1 Fe 2.29
3 Cl 0.0205 0.1158 0.9186  1 Fe 2.29
4 Cl 0.3858 0.1679 0.0008  1 Fe 2.31
5 Cl 0.4282 0.5145 0.1407  4 Tl 3.03-3.15
6 Cl 0.6174 0.6527 0.7615  4 Tl 3.03-3.13
7 Cl 0.9684 0.1527 0.2615  4 Tl 3.03-3.13
8 Cl 0.9998 0.5536 0.9235  1 Fe 2.30
9 Cl 0.6651 0.7750 0.2144  1 Fe 2.31
10 Cl 0.4456 0.6679 0.5008  1 Fe 2.31
11 Cl 0.5231 0.0536 0.4235  1 Fe 2.30
12 Cl 0.9165 0.0145 0.6407  4 Tl 3.03-3.15
13 Tl 0.3040 0.9534 0.6656  5 Cl 3.12-3.30
14 Tl 0.6699 0.2789 0.8054  5 Cl 3.10-3.32
15 Tl 0.7016 0.2545 0.4782  4 Cl 3.03-3.36
16 Tl 0.0770 0.4534 0.1656  5 Cl 3.12-3.30
17 Tl 0.9984 0.6441 0.6529  4 Cl 3.03-3.38
18 Tl 0.5657 0.7545 0.9782  4 Cl 3.03-3.36
19 Tl 0.2458 0.7789 0.3054  5 Cl 3.10-3.32
20 Tl 0.7045 0.1441 0.1529  4 Cl 3.03-3.38
21 Fe 0.1792 0.2758 0.8924  4 Cl 2.29-2.31
22 Fe 0.6525 0.7758 0.3924  4 Cl 2.29-2.31